A plane-wave DFT calculation with PBE with a Hubbard U was carried out for crystalline MnAg2F8 at its relaxed geometry.

- total magnetic moment (μB/f.u.) = 2.5
- theoretical density (Mg/m³) = 4.48
- energy above the most stable polymorph in this dataset (eV/atom) = 0.025
- uncorrected energy (eV per atom) = -4.084
- space group = P-3m1, No. 164
- density of states at the Fermi level (states/eV per atom) = 0.5822

Structure (CIF):
```
data_MnAg2F8
_cell_length_a 4.2113
_cell_length_b 6.5542
_cell_length_c 6.5542
_cell_angle_alpha 120.00
_cell_angle_beta 90.00
_cell_angle_gamma 90.00
_space_group_name_H-M_alt 'P 1'
_space_group_IT_number 1
loop_
_space_group_symop_operation_xyz
'x,y,z'
loop_
_atom_site_label
_atom_site_type_symbol
_atom_site_fract_x
_atom_site_fract_y
_atom_site_fract_z
Ag1 Ag 0.2920 0.3333 0.6667
Ag2 Ag 0.7080 0.6667 0.3333
F1 F 0.7421 0.8640 0.1360
F2 F 0.2108 0.6667 0.3333
F3 F 0.7892 0.3333 0.6667
F4 F 0.2579 0.7280 0.8640
F5 F 0.2579 0.1360 0.8640
F6 F 0.7421 0.8640 0.7280
F7 F 0.7421 0.2720 0.1360
F8 F 0.2579 0.1360 0.2720
Mn1 Mn 0.5000 0.0000 0.0000
```